No. 1
The following is a GGA+U calculation of an optimized crystal structure of Li2TiMnO4, from Alexandria via LeMat-Bulk.

a = 6.103 Å, b = 6.103 Å, c = 6.103 Å
α = 121.18°, β = 120.44°, γ = 88.61°
Fractional coordinates of all 16 atoms:
Li 0.000 0.000 0.000
Li 0.500 0.000 0.000
Li 0.500 0.000 0.500
Li 0.500 0.500 0.500
Ti 0.000 0.000 0.500
Ti 0.000 0.500 0.000
Mn 0.000 0.500 0.500
Mn 0.500 0.500 0.000
O 0.224 0.224 0.499
O 0.224 0.247 0.977
O 0.224 0.725 0.001
O 0.230 0.753 0.477
O 0.770 0.247 0.523
O 0.776 0.275 0.999
O 0.776 0.753 0.023
O 0.776 0.776 0.501



No. 2
The following is a GGA+U calculation of an optimized crystal structure of Li4Ti3Mn3V2O16, from Alexandria via LeMat-Bulk.

a = 5.890 Å, b = 5.890 Å, c = 9.602 Å
α = 91.12°, β = 91.12°, γ = 60.42°
Fractional coordinates of all 28 atoms:
Li 0.000 0.000 0.000
Li 0.004 0.004 0.492
Li 0.331 0.331 0.099
Li 0.668 0.668 0.589
Ti 0.166 0.664 0.773
Ti 0.664 0.166 0.773
Ti 0.826 0.826 0.273
Mn 0.169 0.169 0.778
Mn 0.343 0.823 0.278
Mn 0.823 0.343 0.278
V 0.331 0.331 0.496
V 0.660 0.660 0.006
O 0.004 0.004 0.679
O 0.043 0.492 0.643
O 0.170 0.668 0.394
O 0.174 0.174 0.396
O 0.326 0.821 0.893
O 0.333 0.333 0.882
O 0.481 0.481 0.652
O 0.492 0.043 0.643
O 0.515 0.515 0.156
O 0.521 0.959 0.151
O 0.668 0.170 0.394
O 0.670 0.670 0.387
O 0.821 0.326 0.893
O 0.836 0.836 0.879
O 0.959 0.521 0.151
O 0.998 0.998 0.188

## Properties
**Density of states at the Fermi level**: 0.0235 states/eV per atom



No. 3
The following is a GGA+U calculation of an optimized crystal structure of Li4Ti3Mn3W2O16, from Alexandria via LeMat-Bulk.

a = 6.016 Å, b = 6.076 Å, c = 9.837 Å
α = 91.29°, β = 90.44°, γ = 119.52°
Fractional coordinates of all 28 atoms:
Li 0.000 0.000 0.000
Li 0.005 0.000 0.490
Li 0.373 0.689 0.085
Li 0.694 0.360 0.579
Ti 0.158 0.819 0.781
Ti 0.675 0.855 0.760
Ti 0.854 0.654 0.259
Mn 0.201 0.345 0.773
Mn 0.345 0.177 0.275
Mn 0.833 0.176 0.276
W 0.344 0.674 0.494
W 0.676 0.321 0.999
O 0.007 0.983 0.677
O 0.068 0.556 0.639
O 0.149 0.336 0.401
O 0.159 0.819 0.389
O 0.335 0.141 0.895
O 0.371 0.705 0.874
O 0.507 0.979 0.645
O 0.516 0.551 0.635
O 0.549 0.042 0.147
O 0.553 0.501 0.135
O 0.656 0.841 0.394
O 0.702 0.373 0.378
O 0.841 0.154 0.887
O 0.854 0.670 0.877
O 0.977 0.986 0.188
O 0.988 0.495 0.142



No. 4
The following is a GGA+U calculation of an optimized crystal structure of Li4TiMnW2O12, from Alexandria via LeMat-Bulk.

a = 5.107 Å, b = 5.392 Å, c = 7.425 Å
α = 94.26°, β = 90.01°, γ = 90.01°
Fractional coordinates of all 20 atoms:
Li 0.000 0.000 0.000
Li 0.000 0.000 0.495
Li 0.499 0.492 0.497
Li 0.501 0.499 0.000
Ti 0.002 0.553 0.720
Mn 0.498 0.072 0.211
W 0.001 0.573 0.216
W 0.499 0.061 0.710
O 0.119 0.595 0.455
O 0.184 0.901 0.760
O 0.197 0.279 0.143
O 0.300 0.780 0.141
O 0.320 0.396 0.759
O 0.380 0.094 0.456
O 0.617 0.089 0.957
O 0.687 0.392 0.261
O 0.692 0.776 0.641
O 0.805 0.272 0.644
O 0.809 0.892 0.262
O 0.883 0.589 0.959



No. 5
The following is a GGA+U calculation of an optimized crystal structure of Li2MnTl2O6, from Alexandria via LeMat-Bulk.

a = 5.664 Å, b = 5.664 Å, c = 5.250 Å
α = 96.37°, β = 96.37°, γ = 120.53°
Fractional coordinates of all 11 atoms:
Li 0.126 0.874 0.000
Li 0.874 0.126 0.000
Mn 0.000 0.000 0.500
Tl 0.336 0.664 0.500
Tl 0.664 0.336 0.500
O 0.039 0.331 0.716
O 0.229 0.229 0.275
O 0.331 0.039 0.716
O 0.669 0.961 0.284
O 0.771 0.771 0.725
O 0.961 0.669 0.284



No. 6
The following is a GGA+U calculation of an optimized crystal structure of LiMnTlO2, from Alexandria via LeMat-Bulk.

a = 3.812 Å, b = 3.812 Å, c = 5.765 Å
α = 90.00°, β = 90.00°, γ = 90.00°
Fractional coordinates of all 5 atoms:
Li 0.000 0.000 0.000
Mn 0.500 0.500 0.500
Tl 0.500 0.500 0.000
O 0.000 0.500 0.500
O 0.500 0.000 0.500

## Properties
**Density of states at the Fermi level**: 0.4820 states/eV per atom



No. 7
The following is a GGA+U calculation of an optimized crystal structure of Li2TmMnO4, from Alexandria via LeMat-Bulk.

a = 4.958 Å, b = 4.958 Å, c = 4.958 Å
α = 116.64°, β = 116.64°, γ = 95.92°
Fractional coordinates of all 8 atoms:
Li 0.250 0.750 0.500
Li 0.750 0.250 0.500
Tm 0.000 0.000 0.000
Mn 0.500 0.500 0.000
O 0.134 0.134 0.535
O 0.401 0.866 0.000
O 0.599 0.599 0.465
O 0.866 0.401 0.000



No. 8
The following is a GGA+U calculation of an optimized crystal structure of LiTmMn2O4, from Alexandria via LeMat-Bulk.

a = 5.420 Å, b = 3.276 Å, c = 5.470 Å
α = 90.00°, β = 107.43°, γ = 90.00°
Fractional coordinates of all 8 atoms:
Li 0.000 0.000 0.000
Tm 0.500 0.500 0.000
Mn 0.000 0.500 0.500
Mn 0.500 0.000 0.500
O 0.254 0.000 0.764
O 0.259 0.500 0.265
O 0.741 0.500 0.735
O 0.746 0.000 0.236

## Properties
**Density of states at the Fermi level**: 0.0000 states/eV per atom



No. 9
The following is a GGA+U calculation of an optimized crystal structure of LiUMnO4, from Alexandria via LeMat-Bulk.

a = 6.262 Å, b = 6.262 Å, c = 6.262 Å
α = 118.94°, β = 112.07°, γ = 98.07°
Fractional coordinates of all 14 atoms:
Li 0.500 0.000 0.000
Li 0.500 0.500 0.500
U 0.000 0.000 0.000
U 0.500 0.000 0.500
Mn 0.135 0.385 0.750
Mn 0.865 0.615 0.250
O 0.238 0.248 0.990
O 0.242 0.752 0.490
O 0.261 0.232 0.470
O 0.261 0.791 0.030
O 0.739 0.209 0.970
O 0.739 0.768 0.530
O 0.758 0.248 0.510
O 0.762 0.752 0.010

## Properties
**Density of states at the Fermi level**: 0.3809 states/eV per atom



No. 10
The following is a GGA+U calculation of an optimized crystal structure of LiUMnO6, from Alexandria via LeMat-Bulk.

a = 4.769 Å, b = 4.769 Å, c = 9.290 Å
α = 90.00°, β = 90.00°, γ = 90.00°
Fractional coordinates of all 18 atoms:
Li 0.000 0.000 0.000
Li 0.500 0.500 0.500
U 0.000 0.000 0.335
U 0.500 0.500 0.835
Mn 0.000 0.000 0.671
Mn 0.500 0.500 0.171
O 0.186 0.186 0.513
O 0.192 0.192 0.824
O 0.213 0.213 0.176
O 0.287 0.713 0.676
O 0.308 0.692 0.324
O 0.314 0.686 0.013
O 0.686 0.314 0.013
O 0.692 0.308 0.324
O 0.713 0.287 0.676
O 0.787 0.787 0.176
O 0.808 0.808 0.824
O 0.814 0.814 0.513

## Properties
**Density of states at the Fermi level**: 0.7565 states/eV per atom



No. 11
The following is a GGA+U calculation of an optimized crystal structure of LiUMnO5, from Alexandria via LeMat-Bulk.

a = 5.966 Å, b = 5.966 Å, c = 7.749 Å
α = 99.95°, β = 99.95°, γ = 118.85°
Fractional coordinates of all 16 atoms:
Li 0.223 0.777 0.750
Li 0.777 0.223 0.250
U 0.500 0.500 0.000
U 0.500 0.500 0.500
Mn 0.056 0.944 0.250
Mn 0.944 0.056 0.750
O 0.082 0.237 0.423
O 0.150 0.450 0.844
O 0.237 0.082 0.923
O 0.421 0.579 0.250
O 0.450 0.150 0.344
O 0.550 0.850 0.656
O 0.579 0.421 0.750
O 0.763 0.918 0.077
O 0.850 0.550 0.156
O 0.918 0.763 0.577



No. 12
The following is a GGA+U calculation of an optimized crystal structure of Li2UMn2O6, from Alexandria via LeMat-Bulk.

a = 5.334 Å, b = 5.334 Å, c = 5.311 Å
α = 98.73°, β = 98.73°, γ = 120.82°
Fractional coordinates of all 11 atoms:
Li 0.205 0.795 0.000
Li 0.795 0.205 0.000
U 0.000 0.000 0.500
Mn 0.336 0.664 0.500
Mn 0.664 0.336 0.500
O 0.054 0.418 0.719
O 0.273 0.273 0.283
O 0.418 0.054 0.719
O 0.582 0.946 0.281
O 0.727 0.727 0.717
O 0.946 0.582 0.281

## Properties
**Density of states at the Fermi level**: 0.4387 states/eV per atom



Number 1: final energy -115.05 eV for the cell shown, mass density 3.78 Mg/m³. Number 2: final energy -208.90 eV for the cell shown, mass density 3.98 Mg/m³. Number 3: final energy -209.97 eV for the cell shown, mass density 5.10 Mg/m³. Number 4: final energy -139.41 eV for the cell shown, mass density 5.62 Mg/m³. Number 5: final energy -58.74 eV for the cell shown, mass density 6.74 Mg/m³. Number 6: final energy -23.96 eV for the cell shown, mass density 5.91 Mg/m³. Number 7: final energy -53.62 eV for the cell shown, mass density 5.56 Mg/m³. Number 8: final energy -59.35 eV for the cell shown, mass density 6.27 Mg/m³. Number 9: final energy -109.17 eV for the cell shown, mass density 6.61 Mg/m³. Number 10: final energy -137.59 eV for the cell shown, mass density 6.22 Mg/m³. Number 11: final energy -128.00 eV for the cell shown, mass density 5.55 Mg/m³. Number 12: final energy -80.28 eV for the cell shown, mass density 6.16 Mg/m³.